# 1
A relaxed LaTa2Pb crystal. Source: Alexandria, functional PBE-GGA.

Cell lengths 8.4078, 8.4078, 6.6566 Å; angles 50.84, 50.84, 90.00 degrees
Fractional coordinates of all 8 atoms:
Pb  0.0000  0.0000  0.0000
Pb  0.7500  0.2500  0.5000
La  0.5000  0.5000  0.0000
La  0.2500  0.7500  0.5000
Ta  0.6614  0.1250  0.2500
Ta  0.0886  0.6250  0.2500
Ta  0.3750  0.3386  0.7500
Ta  0.8750  0.9114  0.7500

Summary:
* calculated total energy: -7.03 eV/atom
* ΔE_f: 102 kJ/mol of atoms
* crystal system: tetragonal


# 2
A relaxed LiAuSe2 crystal. Source: Alexandria, functional PBE-GGA.

Cell lengths 4.7743, 4.7743, 4.7743 Å; angles 60.00, 60.00, 60.00 degrees
Fractional coordinates of all 4 atoms:
Au  0.5000  0.5000  0.5000
Se  0.2500  0.2500  0.2500
Se  0.7500  0.7500  0.7500
Li  0.0000  0.0000  0.0000

Summary:
* calculated total energy: -3.12 eV/atom
* ΔE_f (raw): -0.0828 eV per atom
* crystal system: cubic


# 3
A relaxed Nd12SmHo7 crystal. Source: Alexandria, functional PBE-GGA.

Cell lengths 6.2298, 11.5437, 11.5437 Å; angles 116.84, 100.36, 100.36 degrees
Fractional coordinates of all 20 atoms:
Nd  0.0880  0.5881  0.1752
Nd  0.0872  0.1752  0.5872
Nd  0.5819  0.6459  0.9994
Nd  0.4176  0.9994  0.3535
Nd  0.5001  0.4128  0.5881
Nd  0.0641  0.6465  0.6459
Nd  0.9359  0.3535  0.3541
Nd  0.4999  0.5872  0.4119
Nd  0.5824  0.0006  0.6465
Nd  0.4181  0.3541  0.0006
Nd  0.9128  0.8248  0.4128
Nd  0.9120  0.4119  0.8248
Sm  0.0000  0.0000  0.0000
Ho  0.1253  0.7545  0.9992
Ho  0.8739  0.9992  0.2448
Ho  0.6292  0.7552  0.7545
Ho  0.5000  0.0000  0.0000
Ho  0.3708  0.2448  0.2455
Ho  0.1261  0.0008  0.7552
Ho  0.8747  0.2455  0.0008

Summary:
* calculated total energy: -4.45 eV/atom
* ΔE_f: 24 kJ/mol of atoms
* crystal system: trigonal
* offset from the most stable computed form: 94 meV per atom


# 4
A relaxed Nd5Tm4Sc2 crystal. Source: Alexandria, functional PBE-GGA.

Cell lengths 3.5627, 9.0144, 10.9784 Å; angles 87.43, 90.00, 90.00 degrees
Fractional coordinates of all 11 atoms:
Nd  0.0000  0.4382  0.3319
Nd  0.0000  0.8468  0.1398
Nd  0.0000  0.5000  0.0000
Nd  0.0000  0.1532  0.8602
Nd  0.0000  0.5618  0.6681
Tm  0.5000  0.2410  0.5750
Tm  0.5000  0.8089  0.8627
Tm  0.5000  0.7590  0.4250
Tm  0.5000  0.1911  0.1373
Sc  0.0000  0.9330  0.6294
Sc  0.0000  0.0670  0.3706

Summary:
* calculated total energy: -4.87 eV/atom
* ΔE_f: 8 kJ/mol of atoms
* crystal system: monoclinic
* offset from the most stable computed form: 0 meV per atom


# 5
A relaxed TaFe2Re crystal. Source: Alexandria, functional PBE-GGA.

Cell lengths 4.3167, 4.3167, 4.3167 Å; angles 60.00, 60.00, 60.00 degrees
Fractional coordinates of all 4 atoms:
Fe  0.0000  0.0000  0.0000
Fe  0.2500  0.2500  0.2500
Re  0.5000  0.5000  0.5000
Ta  0.7500  0.7500  0.7500

Summary:
* calculated total energy: -10.27 eV/atom
* ΔE_f: 4 kJ/mol of atoms
* crystal system: cubic


# 6
A relaxed Cs3NaPb2F9 crystal. Source: Alexandria, functional PBE-GGA.

Cell lengths 6.6721, 6.6721, 8.2203 Å; angles 90.00, 90.00, 120.00 degrees
Fractional coordinates of all 15 atoms:
Cs  0.3333  0.6667  0.6527
Cs  0.0000  0.0000  0.0000
Cs  0.6667  0.3333  0.3473
Na  0.0000  0.0000  0.5000
Pb  0.3333  0.6667  0.1752
Pb  0.6667  0.3333  0.8248
F  0.8303  0.1697  0.6654
F  0.8303  0.6607  0.6654
F  0.3393  0.1697  0.6654
F  0.6607  0.8303  0.3346
F  0.1697  0.3393  0.3346
F  0.1697  0.8303  0.3346
F  0.5000  0.0000  0.0000
F  0.0000  0.5000  0.0000
F  0.5000  0.5000  0.0000

Summary:
* calculated total energy: -4.41 eV/atom
* ΔE_f (raw): -2.5322 eV per atom
* crystal system: trigonal


# 7
A relaxed La6IrRu2Cl3 crystal. Source: Alexandria, functional PBE-GGA.

Cell lengths 7.1866, 7.1866, 8.0153 Å; angles 98.60, 98.60, 120.01 degrees
Fractional coordinates of all 12 atoms:
La  0.9319  0.5943  0.7959
La  0.7302  0.7302  0.2042
La  0.0681  0.4057  0.2041
La  0.5943  0.9319  0.7959
La  0.2698  0.2698  0.7958
La  0.4057  0.0681  0.2041
Ir  0.0000  0.0000  0.0000
Ru  0.3337  0.6663  0.0000
Ru  0.6663  0.3337  0.0000
Cl  0.1699  0.8301  0.5000
Cl  0.8301  0.1699  0.5000
Cl  0.5000  0.5000  0.5000

Summary:
* calculated total energy: -6.34 eV/atom
* ΔE_f (raw): -1.1290 eV per atom
* crystal system: monoclinic


# 8
A relaxed LaMn2N2 crystal. Source: Alexandria, functional PBE-GGA.

Cell lengths 3.8984, 3.8984, 5.0425 Å; angles 67.26, 67.26, 90.00 degrees
Fractional coordinates of all 5 atoms:
N  0.7500  0.2500  0.5000
N  0.2500  0.7500  0.5000
Mn  0.3205  0.3205  0.3590
Mn  0.6795  0.6795  0.6410
La  0.0000  0.0000  0.0000

Summary:
* calculated total energy: -8.35 eV/atom
* ΔE_f (raw): -0.3618 eV per atom
* crystal system: tetragonal


# 9
A relaxed RbReSn3 crystal. Source: Alexandria, functional PBE-GGA.

Cell lengths 5.7039, 5.7039, 5.7039 Å; angles 90.00, 90.00, 90.00 degrees
Fractional coordinates of all 5 atoms:
Re  0.5000  0.5000  0.5000
Sn  0.0000  0.5000  0.0000
Sn  0.0000  0.0000  0.5000
Sn  0.5000  0.0000  0.0000
Rb  0.0000  0.0000  0.0000

Summary:
* calculated total energy: -2.37 eV/atom
* ΔE_f: 262 kJ/mol of atoms
* crystal system: cubic
* offset from the most stable computed form: 2467 meV per atom


# 10
A relaxed LiSmMg2Au2 crystal. Source: Alexandria, functional PBE-GGA.

Cell lengths 4.3309, 4.3309, 8.3212 Å; angles 105.08, 105.08, 90.00 degrees
Fractional coordinates of all 6 atoms:
Li  0.0000  0.0000  0.0000
Sm  0.5000  0.5000  0.0000
Mg  0.2500  0.7500  0.5000
Mg  0.7500  0.2500  0.5000
Au  0.8524  0.8524  0.7048
Au  0.1476  0.1476  0.2952

Summary:
* calculated total energy: -2.88 eV/atom
* ΔE_f: -14 kJ/mol of atoms
* crystal system: tetragonal


# 11
A relaxed BaGe2As2 crystal. Source: Alexandria, functional PBE-GGA.

Cell lengths 8.1684, 8.1684, 3.7787 Å; angles 90.00, 90.00, 90.00 degrees
Fractional coordinates of all 10 atoms:
As  0.3770  0.8770  0.0000
As  0.8770  0.6230  0.0000
As  0.6230  0.1230  0.0000
As  0.1230  0.3770  0.0000
Ge  0.1356  0.6356  0.5000
Ge  0.6356  0.8644  0.5000
Ge  0.8644  0.3644  0.5000
Ge  0.3644  0.1356  0.5000
Ba  0.0000  0.0000  0.0000
Ba  0.5000  0.5000  0.0000

Summary:
* calculated total energy: -4.19 eV/atom
* ΔE_f: -9 kJ/mol of atoms
* crystal system: tetragonal


# 12
A relaxed CoRuCl2 crystal. Source: Alexandria, functional PBE-GGA.

Cell lengths 3.3729, 3.6641, 7.2367 Å; angles 75.39, 90.00, 90.00 degrees
Fractional coordinates of all 4 atoms:
Ru  0.5000  0.7932  0.6690
Co  0.0000  0.3917  0.5786
Cl  0.0000  0.0110  0.8922
Cl  0.5000  0.3040  0.3601

Summary:
* calculated total energy: -4.80 eV/atom
* ΔE_f (raw): 0.2170 eV per atom
* crystal system: monoclinic
* offset from the most stable computed form: 188 meV per atom